A relaxed Cu2Pd2Au7 crystal. Source: the Alexandria database, functional GGA-PBE.

Total DFT energy (no corrections) in Ry per atom: -0.260
Space group: Cmmm, No. 65
ρ in g cm⁻³: 13.57
N(E_F) in states/eV per atom: 0.419
V in Å³ per atom: 19.119

Cell lengths 5.915, 5.915, 6.094 Å; angles 90.00, 90.00, 99.51 degrees
Fractional coordinates of all 11 atoms:
Cu1 0.218 0.782 0.000
Cu2 0.782 0.218 0.000
Pd1 0.327 0.327 0.500
Pd2 0.673 0.673 0.500
Au1 0.000 0.000 0.271
Au2 0.000 0.000 0.729
Au3 0.000 0.500 0.265
Au4 0.000 0.500 0.735
Au5 0.500 0.000 0.265
Au6 0.500 0.000 0.735
Au7 0.500 0.500 0.000